A plane-wave DFT calculation with PBE was carried out for crystalline KFe3Pd at its relaxed geometry.

Output
formation energy	2323	meV/atom
uncorrected energy	-4.013	eV/atom
excess energy over the best structure of this formula in the dataset	1253	meV per atom
symmetry	Pm-3m (221)

Unit cell a=4.4020 b=4.4020 c=4.4020 alpha=90.00 beta=90.00 gamma=90.00
Each line ends with the local moment (μB).
Positions (direct):
K  0.0000  0.0000  0.0000  -0.04
Fe  0.0000  0.5000  0.0000  2.76
Fe  0.0000  0.0000  0.5000  2.43
Fe  0.5000  0.0000  0.0000  3.00
Pd  0.5000  0.5000  0.5000  0.18